(1)
Ac2La2NiPt2: optimized geometry, PBE.

POSCAR file:
```
Ac2La2NiPt2
1.0
7.310 -2.081 0.000
7.310 2.081 0.000
-3.748 0.000 7.027
Ac La Ni Pt
2 2 1 2
Cartesian
-0.528 0.000 1.823
11.400 0.000 5.204
3.336 0.000 1.585
7.536 0.000 5.442
5.436 0.000 3.514
1.941 0.000 6.666
8.931 0.000 0.361
```

Calculated values
ΔH_f (0 K): -719 meV per atom
Mass density: 9.2 g/cm3
SG: C2/m (12)

***

(2)
AcLaNiPt: optimized geometry, PBE.

POSCAR file:
```
AcLaNiPt
1.0
4.531 0.000 0.000
0.000 2.035 5.583
0.000 -2.035 5.583
Ac La Ni Pt
1 1 1 1
Cartesian
0.000 0.000 0.000
2.266 0.000 3.033
0.000 0.000 8.070
2.266 0.000 6.251
```

Calculated values
ΔH_f (0 K): -725 meV per atom
Mass density: 10.0 g/cm3
SG: Amm2 (38)
Excess energy over the best structure of this formula in the dataset: 0.00 kcal/mol of atoms

***

Q: The highest mass density belongs to which entry?
A: AcLaNiPt